(1)
Here is crystalline BaHI2 at its relaxed geometry from Alexandria. Energies are from GGA-PBE.

a = 5.9061 Å, b = 5.9061 Å, c = 5.9061 Å
α = 60.00°, β = 60.00°, γ = 60.00°
Last column: nearest neighbours and their distance in Å.
Atoms (fractional coordinates):
I 0.2500 0.2500 0.2500  4 Ba 3.62, 4 H 3.62
I 0.7500 0.7500 0.7500  4 H 3.62, 4 Ba 3.62
H 0.0000 0.0000 0.0000  8 I 3.62
Ba 0.5000 0.5000 0.5000  8 I 3.62

Computed properties:
uncorrected energy = -11.54 eV per formula unit
density of states at the Fermi level = 0.00 states/eV/cell

=====

(2)
Here is crystalline BaHI2 at its relaxed geometry from Alexandria. Energies are from GGA-PBE.

a = 6.0625 Å, b = 6.7930 Å, c = 8.9092 Å
α = 82.07°, β = 89.87°, γ = 73.13°
Last column: nearest neighbours and their distance in Å.
Atoms (fractional coordinates):
Ba 0.2671 0.2113 0.7048  1 H 2.44
Ba 0.5006 0.3335 0.2301  1 H 2.44
H 0.6171 0.7263 0.0444  1 I 1.74
H 0.2560 0.3912 0.4470  2 Ba 2.44
I 0.0677 0.1927 0.0708  3 Ba 3.42-3.63
I 0.4425 0.6400 0.8474  1 H 2.28
I 0.7339 0.7642 0.2126  1 H 1.74
I 0.8159 0.0571 0.5657  3 Ba 3.47-3.54, 1 H 3.56

Computed properties:
uncorrected energy = -12.37 eV per formula unit
density of states at the Fermi level = 0.00 states/eV/cell